Record 1
PBE-GGA Th3ZnGa2Cu6, optimized geometry; energy relative to the elements = -0.08 eV per atom
1.0
5.703 0.000 0.000
-2.852 4.939 0.000
0.000 0.000 8.250
Th Zn Ga Cu
3 1 2 6
Direct
0.000 0.000 0.000
0.333 0.667 0.631
0.667 0.333 0.369
0.000 0.000 0.500
0.333 0.667 0.027
0.667 0.333 0.973
0.183 0.367 0.281
0.183 0.817 0.281
0.367 0.183 0.719
0.633 0.817 0.281
0.817 0.183 0.719
0.817 0.633 0.719

Record 2
PBE-GGA MnIrRu, optimized geometry; energy relative to the elements = -0.01 eV per atom; distance to the lowest polymorph of the same formula = 0.042 eV per atom
1.0
-1.337 1.337 5.559
1.337 -1.337 5.559
1.337 1.337 -5.559
Mn Ir Ru
1 1 1
Direct
0.000 0.000 0.000
0.662 0.662 0.000
0.341 0.341 0.000

Record 3
PBE-GGA Cs2LiAl3F12, optimized geometry; E_form (uncorrected) = -3387 meV per atom
1.0
3.543 2.046 5.930
-3.543 2.046 5.930
0.000 -4.091 5.930
Cs Li Al F
2 1 3 12
Direct
0.127 0.127 0.127
0.873 0.873 0.873
0.500 0.500 0.500
0.000 0.500 0.500
0.500 0.000 0.500
0.500 0.500 0.000
0.151 0.572 0.572
0.193 0.193 0.570
0.193 0.570 0.193
0.428 0.428 0.849
0.428 0.849 0.428
0.430 0.807 0.807
0.570 0.193 0.193
0.572 0.151 0.572
0.572 0.572 0.151
0.807 0.430 0.807
0.807 0.807 0.430
0.849 0.428 0.428

Record 4
PBE-GGA CuOsRh2, optimized geometry; energy relative to the elements = 0.36 eV per atom; distance to the lowest polymorph of the same formula = 0.338 eV per atom
1.0
0.000 3.051 3.051
3.051 0.000 3.051
3.051 3.051 0.000
Cu Os Rh
1 1 2
Direct
0.000 0.000 0.000
0.500 0.500 0.500
0.250 0.250 0.250
0.750 0.750 0.750

Record 5
PBE-GGA K4MgAg, optimized geometry; energy relative to the elements = 0.39 eV per atom
1.0
0.000 5.347 5.347
5.347 0.000 5.347
5.347 5.347 0.000
K Mg Ag
4 1 1
Direct
0.376 0.376 0.376
0.376 0.376 0.873
0.376 0.873 0.376
0.873 0.376 0.376
0.000 0.000 0.000
0.750 0.750 0.750

Record 6
PBE-GGA SrCeRuO6, optimized geometry; E_form (uncorrected) = -2045 meV per atom
1.0
5.131 0.000 0.000
0.000 5.131 0.000
0.000 0.000 10.249
Sr Ce Ru O
2 2 2 12
Direct
0.000 0.000 0.000
0.500 0.500 0.500
0.000 0.000 0.659
0.500 0.500 0.159
0.000 0.000 0.329
0.500 0.500 0.829
0.172 0.172 0.476
0.198 0.198 0.196
0.238 0.238 0.816
0.262 0.738 0.316
0.302 0.698 0.696
0.328 0.672 0.976
0.672 0.328 0.976
0.698 0.302 0.696
0.738 0.262 0.316
0.762 0.762 0.816
0.802 0.802 0.196
0.828 0.828 0.476

Record 7
PBE-GGA YZn2Ga, optimized geometry; energy relative to the elements = -0.12 eV per atom
1.0
-2.199 2.199 9.022
2.199 -2.199 9.022
2.199 2.199 -9.022
Y Zn Ga
2 4 2
Direct
0.000 0.000 0.000
0.750 0.250 0.500
0.238 0.625 0.113
0.375 0.488 0.613
0.512 0.125 0.887
0.875 0.762 0.387
0.250 0.750 0.500
0.500 0.500 0.000

Record 8
PBE-GGA La2IrRu, optimized geometry; energy relative to the elements = -0.02 eV per atom
1.0
0.000 3.484 3.484
3.484 0.000 3.484
3.484 3.484 0.000
La Ir Ru
2 1 1
Direct
0.000 0.000 0.000
0.250 0.250 0.250
0.500 0.500 0.500
0.750 0.750 0.750

Record 9
PBE-GGA LaCo2NiB, optimized geometry; energy relative to the elements = -0.23 eV per atom
1.0
4.060 0.000 0.000
0.000 4.060 0.000
0.000 0.000 4.047
La Co Ni B
1 2 1 1
Direct
0.000 0.000 0.000
0.000 0.500 0.500
0.500 0.000 0.500
0.500 0.500 0.000
0.500 0.500 0.500

Record 10
PBE-GGA CeSmAu, optimized geometry; energy relative to the elements = 0.30 eV per atom; distance to the lowest polymorph of the same formula = 0.781 eV per atom
1.0
-1.638 1.638 8.409
1.638 -1.638 8.409
1.638 1.638 -8.409
Ce Sm Au
1 1 1
Direct
0.000 0.000 0.000
0.658 0.658 0.000
0.829 0.829 0.000

Record 11
PBE-GGA V3ZnCo4, optimized geometry; energy relative to the elements = -0.09 eV per atom
1.0
4.092 0.000 0.000
0.000 4.092 0.000
0.000 0.000 5.724
V Zn Co
3 1 4
Direct
0.000 0.000 0.000
0.000 0.000 0.500
0.500 0.500 0.000
0.500 0.500 0.500
0.000 0.500 0.245
0.000 0.500 0.755
0.500 0.000 0.245
0.500 0.000 0.755

Record 12
PBE-GGA Pu2Ag4Se5, optimized geometry; E_form (uncorrected) = -619 meV per atom
1.0
2.146 1.239 17.629
-2.146 1.239 17.629
0.000 -2.478 17.629
Pu Ag Se
2 4 5
Direct
0.134 0.134 0.134
0.866 0.866 0.866
0.312 0.312 0.312
0.417 0.417 0.417
0.583 0.583 0.583
0.688 0.688 0.688
0.227 0.227 0.227
0.368 0.368 0.368
0.500 0.500 0.500
0.632 0.632 0.632
0.773 0.773 0.773